No. 1
First-principles (PBE) data for a relaxed Ga2TePt2 crystal, as listed in Alexandria via LeMat-Bulk.

Calculated values
Space-group type: No. 139
Formation energy without anion corrections: -0.22 eV/atom
Electronic total energy: -4.47 eV/atom
Offset from the most stable computed form: 0.182 eV per atom

Lattice parameters (Å, degrees): 4.195 4.195 6.157 70.08 70.08 90.00
Sites, in units of the cell vectors:
Te: 0.000 0.000 0.000
Ga: 0.386 0.386 0.227
Ga: 0.614 0.614 0.773
Pt: 0.750 0.250 0.500
Pt: 0.250 0.750 0.500

=====

No. 2
First-principles (PBE) data for a relaxed Ga2TePt2 crystal, as listed in Alexandria via LeMat-Bulk.

Calculated values
Space-group type: No. 139
Formation energy without anion corrections: -0.40 eV/atom
Electronic total energy: -4.66 eV/atom
Offset from the most stable computed form: 0.000 eV per atom

Lattice parameters (Å, degrees): 3.921 3.921 6.696 72.98 72.98 90.00
Sites, in units of the cell vectors:
Te: 0.000 0.000 0.000
Ga: 0.750 0.250 0.500
Ga: 0.250 0.750 0.500
Pt: 0.383 0.383 0.234
Pt: 0.617 0.617 0.766

=====

No. 3
First-principles (PBE) data for a relaxed GaTePt3 crystal, as listed in Alexandria via LeMat-Bulk.

Calculated values
Space-group type: No. 221
Formation energy without anion corrections: 0.40 eV/atom
Electronic total energy: -4.46 eV/atom
Offset from the most stable computed form: 0.000 eV per atom

Lattice parameters (Å, degrees): 4.686 4.686 4.686 90.00 90.00 90.00
Sites, in units of the cell vectors:
Te: 0.500 0.500 0.500
Ga: 0.000 0.000 0.000
Pt: 0.000 0.500 0.000
Pt: 0.000 0.000 0.500
Pt: 0.500 0.000 0.000

=====

No. 4
First-principles (PBE) data for a relaxed GaTe2Pt crystal, as listed in Alexandria via LeMat-Bulk.

Calculated values
Space-group type: No. 166
Formation energy without anion corrections: -0.07 eV/atom
Electronic total energy: -3.91 eV/atom

Lattice parameters (Å, degrees): 9.352 9.352 9.352 24.57 24.57 24.57
Sites, in units of the cell vectors:
Te: 0.886 0.886 0.886
Te: 0.114 0.114 0.114
Ga: 0.000 0.000 0.000
Pt: 0.500 0.500 0.500

=====

No. 5
First-principles (PBE) data for a relaxed Tl2GaTePt crystal, as listed in Alexandria via LeMat-Bulk.

Calculated values
Space-group type: No. 123
Formation energy without anion corrections: -0.21 eV/atom
Electronic total energy: -3.60 eV/atom

Lattice parameters (Å, degrees): 5.427 5.427 4.874 90.00 90.00 90.00
Sites, in units of the cell vectors:
Tl: 0.000 0.500 0.000
Tl: 0.500 0.000 0.000
Te: 0.500 0.500 0.500
Ga: 0.000 0.000 0.500
Pt: 0.000 0.000 0.000

=====

No. 6
First-principles (PBE) data for a relaxed Tm8GaTe4Pt3 crystal, as listed in Alexandria via LeMat-Bulk.

Calculated values
Space-group type: No. 166
Formation energy without anion corrections: -1.15 eV/atom
Electronic total energy: -5.49 eV/atom

Lattice parameters (Å, degrees): 8.218 8.658 8.218 118.33 120.00 90.00
Sites, in units of the cell vectors:
Tm: 0.241 0.716 0.975
Tm: 0.241 0.716 0.482
Tm: 0.263 0.289 0.526
Tm: 0.734 0.716 0.975
Tm: 0.266 0.284 0.025
Tm: 0.737 0.711 0.474
Tm: 0.759 0.284 0.518
Tm: 0.759 0.284 0.025
Ga: 0.000 0.500 0.000
Te: 0.500 0.000 0.000
Te: 0.500 0.000 0.500
Te: 0.000 0.000 0.000
Te: 0.000 0.000 0.500
Pt: 0.500 0.500 0.000
Pt: 0.500 0.500 0.500
Pt: 0.000 0.500 0.500

=====

No. 7
First-principles (PBE) data for a relaxed ThGa8Pt2 crystal, as listed in Alexandria via LeMat-Bulk.

Calculated values
Energy of formation: -0.1464 eV/atom
Space-group type: No. 123
Electronic total energy: -4.12 eV/atom

Lattice parameters (Å, degrees): 5.762 5.762 7.863 90.00 90.00 90.00
Sites, in units of the cell vectors:
Th: 0.500 0.500 0.500
Ga: 0.757 0.757 0.208
Ga: 0.757 0.243 0.792
Ga: 0.757 0.757 0.792
Ga: 0.757 0.243 0.208
Ga: 0.243 0.757 0.208
Ga: 0.243 0.757 0.792
Ga: 0.243 0.243 0.208
Ga: 0.243 0.243 0.792
Pt: 0.500 0.000 0.000
Pt: 0.000 0.500 0.000

=====

No. 8
First-principles (PBE) data for a relaxed ThGa3Pt2 crystal, as listed in Alexandria via LeMat-Bulk.

Calculated values
Energy of formation: -0.8403 eV/atom
Space-group type: No. 12
Electronic total energy: -5.60 eV/atom

Lattice parameters (Å, degrees): 4.216 8.660 10.025 105.74 90.00 104.09
Sites, in units of the cell vectors:
Th: 0.157 0.315 0.708
Th: 0.843 0.685 0.292
Th: 0.000 0.000 0.000
Ga: 0.043 0.086 0.365
Ga: 0.957 0.914 0.635
Ga: 0.214 0.429 0.382
Ga: 0.786 0.571 0.618
Ga: 0.634 0.267 0.194
Ga: 0.366 0.733 0.806
Ga: 0.500 0.000 0.500
Ga: 0.339 0.678 0.048
Ga: 0.661 0.322 0.952
Pt: 0.203 0.406 0.117
Pt: 0.797 0.594 0.883
Pt: 0.484 0.967 0.219
Pt: 0.516 0.033 0.781
Pt: 0.358 0.715 0.544
Pt: 0.642 0.285 0.456

=====

No. 9
First-principles (PBE) data for a relaxed ThGa4Pt8 crystal, as listed in Alexandria via LeMat-Bulk.

Calculated values
Energy of formation: -0.6958 eV/atom
Space-group type: No. 139
Electronic total energy: -5.92 eV/atom

Lattice parameters (Å, degrees): 5.514 6.858 6.858 80.70 66.30 66.30
Sites, in units of the cell vectors:
Th: 0.000 0.000 0.000
Ga: 0.000 0.000 0.500
Ga: 0.500 0.000 0.500
Ga: 0.000 0.500 0.000
Ga: 0.500 0.500 0.000
Pt: 0.000 0.331 0.669
Pt: 0.000 0.669 0.331
Pt: 0.331 0.669 0.669
Pt: 0.669 0.331 0.331
Pt: 0.500 0.774 0.226
Pt: 0.500 0.226 0.774
Pt: 0.274 0.226 0.226
Pt: 0.726 0.774 0.774

=====

No. 10
First-principles (PBE) data for a relaxed ThGa6Pt2 crystal, as listed in Alexandria via LeMat-Bulk.

Calculated values
Energy of formation: -0.1989 eV/atom
Space-group type: No. 162
Electronic total energy: -4.38 eV/atom

Lattice parameters (Å, degrees): 5.035 5.035 9.072 90.00 90.00 120.00
Sites, in units of the cell vectors:
Th: 0.000 0.000 0.000
Ga: 0.661 0.000 0.280
Ga: 0.339 0.339 0.280
Ga: 0.000 0.661 0.280
Ga: 0.661 0.661 0.720
Ga: 0.000 0.339 0.720
Ga: 0.339 0.000 0.720
Pt: 0.333 0.667 0.500
Pt: 0.667 0.333 0.500

=====

No. 11
First-principles (PBE) data for a relaxed ThGaPt3 crystal, as listed in Alexandria via LeMat-Bulk.

Calculated values
Energy of formation: -0.9151 eV/atom
Space-group type: No. 62
Electronic total energy: -6.63 eV/atom
Offset from the most stable computed form: 0.000 eV per atom

Lattice parameters (Å, degrees): 4.261 8.570 10.530 90.00 90.00 90.00
Sites, in units of the cell vectors:
Th: 0.750 0.811 0.008
Th: 0.250 0.689 0.508
Th: 0.750 0.311 0.492
Th: 0.250 0.189 0.992
Ga: 0.250 0.101 0.649
Ga: 0.250 0.601 0.851
Ga: 0.750 0.399 0.149
Ga: 0.750 0.899 0.351
Pt: 0.250 0.565 0.088
Pt: 0.750 0.435 0.912
Pt: 0.250 0.065 0.412
Pt: 0.750 0.935 0.588
Pt: 0.250 0.394 0.680
Pt: 0.750 0.106 0.180
Pt: 0.250 0.894 0.820
Pt: 0.750 0.653 0.709
Pt: 0.250 0.347 0.291
Pt: 0.750 0.153 0.791
Pt: 0.750 0.606 0.320
Pt: 0.250 0.847 0.209

=====

No. 12
First-principles (PBE) data for a relaxed ThGa4Pt4 crystal, as listed in Alexandria via LeMat-Bulk.

Calculated values
Energy of formation: -0.7331 eV/atom
Space-group type: No. 137
Electronic total energy: -5.59 eV/atom

Lattice parameters (Å, degrees): 6.207 6.207 8.541 90.00 90.00 90.00
Sites, in units of the cell vectors:
Th: 0.000 0.000 0.000
Th: 0.500 0.500 0.500
Ga: 0.227 0.500 0.899
Ga: 0.773 0.500 0.899
Ga: 0.500 0.773 0.101
Ga: 0.500 0.227 0.101
Ga: 0.000 0.727 0.399
Ga: 0.000 0.273 0.399
Ga: 0.273 0.000 0.601
Ga: 0.727 0.000 0.601
Pt: 0.500 0.775 0.800
Pt: 0.500 0.225 0.800
Pt: 0.775 0.500 0.200
Pt: 0.225 0.500 0.200
Pt: 0.275 0.000 0.300
Pt: 0.725 0.000 0.300
Pt: 0.000 0.275 0.700
Pt: 0.000 0.725 0.700